No. 1
Nd4Te2S3 | PBE | relaxed

Symmetry ... Cmce (64)
Raw formation energy ... -1750 meV/atom
Total magnetization ... 0.00 μB/f.u.

Structure (POSCAR):
```
Nd4Te2S3
1.0
7.7604 0.0000 0.0000
0.0000 7.6956 0.0000
-3.8802 0.0000 8.0384
S Te Nd
6 4 8
Direct
0.4613 0.2500 0.4225
0.9613 0.2500 0.4225
0.0387 0.7500 0.5775
0.5000 0.5000 0.0000
0.5387 0.7500 0.5775
0.0000 0.0000 0.0000
0.8934 0.4239 0.7868
0.6066 0.9239 0.2132
0.1066 0.5761 0.2132
0.3934 0.0761 0.7868
0.1985 0.9621 0.3971
0.7839 0.2500 0.0679
0.7161 0.7500 0.9321
0.3015 0.4621 0.6029
0.6985 0.5379 0.3971
0.2839 0.2500 0.0679
0.8015 0.0379 0.6029
0.2161 0.7500 0.9321
```

No. 2
Nd2TeS5 | PBE | relaxed

Symmetry ... Cmcm (63)
Raw formation energy ... -1180 meV/atom
Total magnetization ... 0.00 μB/f.u.

Structure (POSCAR):
```
Nd2TeS5
1.0
5.4268 0.0000 0.0000
-2.7134 6.9123 0.0000
0.0000 0.0000 13.2288
S Te Nd
10 2 4
Direct
0.3001 0.6002 0.0824
0.0447 0.0895 0.1129
0.6999 0.3998 0.9176
0.2789 0.5577 0.7500
0.7211 0.4423 0.2500
0.6999 0.3998 0.5824
0.3001 0.6002 0.4176
0.0447 0.0895 0.3871
0.9553 0.9105 0.6129
0.9553 0.9105 0.8871
0.1635 0.3270 0.2500
0.8365 0.6730 0.7500
0.1580 0.3161 0.9312
0.8420 0.6839 0.0688
0.1580 0.3161 0.5688
0.8420 0.6839 0.4312
```

No. 3
Nd5Te5S2 | PBE | relaxed

Symmetry ... C2/m (12)
Raw formation energy ... -1612 meV/atom
Total magnetization ... 0.00 μB/f.u.

Structure (POSCAR):
```
Nd5Te5S2
1.0
-4.0010 -1.6139 0.1070
3.9136 -3.5764 5.3692
-4.2139 10.8071 5.4426
Nd Te S
5 5 2
Direct
0.8944 0.7887 0.6008
0.0000 0.0000 0.0000
0.1056 0.2113 0.3992
0.6760 0.3519 0.8006
0.3240 0.6481 0.1994
0.5000 0.0000 0.5000
0.3340 0.6680 0.9455
0.2495 0.4991 0.6459
0.6660 0.3320 0.0545
0.7505 0.5009 0.3541
0.0411 0.0822 0.7942
0.9589 0.9178 0.2058
```

No. 4
Nd4Te3S | PBE | relaxed

Symmetry ... Cmmm (65)
Raw formation energy ... -1563 meV/atom
Total magnetization ... 0.00 μB/f.u.

Structure (POSCAR):
```
Nd4Te3S
1.0
4.3380 0.0000 0.0000
0.0000 7.2751 -2.4594
0.0000 -0.0403 7.6794
Nd S Te
4 1 3
Direct
0.0000 0.2159 0.2159
0.5000 0.7731 0.2269
0.0000 0.7841 0.7841
0.5000 0.2269 0.7731
0.5000 0.0000 0.0000
0.0000 0.5000 0.0000
0.0000 0.0000 0.5000
0.5000 0.5000 0.5000
```